First-principles (PBE-GGA) data for a relaxed SrAcP2Rh5 crystal, as listed in Alexandria.

Unit cell a=4.138 b=4.138 c=10.977 alpha=90.00 beta=90.00 gamma=90.00
Atoms (fractional coordinates):
Sr  0.000  0.000  0.500
Rh  0.000  0.500  0.793
Rh  0.500  0.000  0.207
Rh  0.000  0.500  0.207
Rh  0.500  0.500  0.500
Rh  0.500  0.000  0.793
P  0.500  0.500  0.705
P  0.500  0.500  0.295
Ac  0.000  0.000  0.000

Summary:
- E_form: -644 meV/atom
- Space-group type: P4/mmm
- Total energy: -6.57 eV per atom